[1]
# PBE B4As, relaxed
# D(E_F)   2.4 states/eV/f.u.
# Spin magnetization   0.00 μB/f.u.
# Calculated formation energy   2.6194 eV per atom
data_B4As
_symmetry_space_group_name_H-M 'P 1'
_symmetry_Int_Tables_number 1
_symmetry_space_group_name_Hall 'P 1'
_cell_length_a 4.045
_cell_length_b 4.045
_cell_length_c 4.045
_cell_angle_alpha 90.00
_cell_angle_beta 90.00
_cell_angle_gamma 90.00
loop_
_atom_site_label
_atom_site_fract_x
_atom_site_fract_y
_atom_site_fract_z
B1 0.000 0.000 0.000
B2 0.000 0.500 0.500
B3 0.500 0.000 0.500
B4 0.500 0.500 0.000
As1 0.500 0.500 0.500



[2]
# PBE Ca2PaMnN4, relaxed
# Formation energy without anion corrections   -854.8 meV/atom
# D(E_F)   2.5 states/eV/f.u.
# Spin magnetization   2.74 μB/f.u.
data_Ca2PaMnN4
_symmetry_space_group_name_H-M 'P 1'
_symmetry_Int_Tables_number 1
_symmetry_space_group_name_Hall 'P 1'
_cell_length_a 5.813
_cell_length_b 5.813
_cell_length_c 11.759
_cell_angle_alpha 90.00
_cell_angle_beta 90.00
_cell_angle_gamma 146.31
loop_
_atom_site_label
_atom_site_fract_x
_atom_site_fract_y
_atom_site_fract_z
Ca1 0.131 0.869 0.543
Ca2 0.131 0.869 0.957
Ca3 0.869 0.131 0.043
Ca4 0.869 0.131 0.457
Pa1 0.401 0.599 0.750
Pa2 0.599 0.401 0.250
Mn1 0.334 0.666 0.250
Mn2 0.666 0.334 0.750
N1 0.061 0.939 0.750
N2 0.214 0.786 0.145
N3 0.214 0.786 0.355
N4 0.500 0.500 0.000
N5 0.500 0.500 0.500
N6 0.786 0.214 0.645
N7 0.786 0.214 0.855
N8 0.939 0.061 0.250